The following is a DFT calculation (PBE) of a geometry-optimized NaPmPt2 structure.

The value obtained for the total energy is -20.67 eV/f.u. The calculation puts the density of states at the Fermi level at 0.347 states/eV per atom.

The space group is P4/mmm (No. 123) and the conventional cell measures 4.486, 4.486 and 3.989 Å, with angles of 90.00, 90.00 and 90.00 degrees. The inequivalent atoms are Na at (0.000, 0.000, 0.000), Pm at (0.500, 0.500, 0.000) and Pt at (0.000, 0.500, 0.500).